No. 1
{"formula": "Er6CuRu5", "functional": "PBE", "state": "relaxed", "cell": [[2.3975, -7.1485, 0.0000], [2.3975, 7.1485, 0.0000], [0.0000, 0.0000, 6.7610]], "species": ["Er", "Er", "Er", "Er", "Er", "Er", "Cu", "Ru", "Ru", "Ru", "Ru", "Ru"], "fractional_positions": [[0.0000, 0.0000, 0.2453], [0.0000, 0.0000, 0.7547], [0.3311, 0.6689, 0.2477], [0.3311, 0.6689, 0.7523], [0.6689, 0.3311, 0.2477], [0.6689, 0.3311, 0.7523], [0.5000, 0.5000, 0.5000], [0.1646, 0.8354, 0.5000], [0.1658, 0.8342, 0.0000], [0.5000, 0.5000, 0.0000], [0.8342, 0.1658, 0.0000], [0.8354, 0.1646, 0.5000]], "crystal_system": "orthorhombic", "total_magnetization_mub_per_cell": 0.00, "formation_enthalpy_0k_mev_per_atom": -407, "energy_ha_per_atom": -0.2534, "sg": "Cmmm (65)"}

***

No. 2
{"formula": "SmErCuRu", "functional": "PBE", "state": "relaxed", "cell": [[0.0000, 3.4550, 3.4550], [3.4550, 0.0000, 3.4550], [3.4550, 3.4550, 0.0000]], "species": ["Sm", "Er", "Cu", "Ru"], "fractional_positions": [[0.0000, 0.0000, 0.0000], [0.5000, 0.5000, 0.5000], [0.7500, 0.7500, 0.7500], [0.2500, 0.2500, 0.2500]], "crystal_system": "cubic", "total_magnetization_mub_per_cell": 0.00, "formation_enthalpy_0k_mev_per_atom": -290, "energy_ha_per_atom": -0.2188, "sg": "F-43m (216)"}